SbSeCl2 | GGA-PBE | optimized geometry

Results
distance to the lowest polymorph of the same formula = 0.0 meV/atom
DFT total energy = -51.5 eV/cell
space-group type = No. 14
energy relative to the elements, uncorrected = -1.571 eV/f.u.

Cell: 6.540 6.391 13.274 Å, 90.00 119.18 90.00°
Element x y z (fractional)
1 Sb 0.134 0.002 0.384
2 Sb 0.134 0.498 0.884
3 Sb 0.866 0.502 0.116
4 Sb 0.866 0.998 0.616
5 Se 0.211 0.749 0.750
6 Se 0.211 0.751 0.250
7 Se 0.789 0.249 0.750
8 Se 0.789 0.251 0.250
9 Cl 0.153 0.229 0.584
10 Cl 0.153 0.271 0.084
11 Cl 0.482 0.229 0.415
12 Cl 0.482 0.271 0.915
13 Cl 0.518 0.729 0.085
14 Cl 0.518 0.771 0.585
15 Cl 0.847 0.729 0.916
16 Cl 0.847 0.771 0.416

***

LiZnCS2 | GGA-PBE | optimized geometry

Results
DFT total energy = -12.7 eV/cell
space-group type = No. 123
energy relative to the elements, uncorrected = 7.932 eV/f.u.

Cell: 4.312 4.312 4.455 Å, 90.00 90.00 90.00°
Element x y z (fractional)
1 Li 0.000 0.000 0.000
2 Zn 0.000 0.000 0.500
3 C 0.500 0.500 0.500
4 S 0.000 0.500 0.000
5 S 0.500 0.000 0.000

***

Zr2AgSb | GGA-PBE | optimized geometry

Results
DFT total energy = -25.3 eV/cell
space-group type = No. 47
energy relative to the elements, uncorrected = -1.269 eV/f.u.

Cell: 3.711 3.722 6.226 Å, 90.00 90.00 90.00°
Element x y z (fractional)
1 Zr 0.000 0.000 0.249
2 Zr 0.000 0.000 0.751
3 Ag 0.500 0.500 0.500
4 Sb 0.500 0.500 0.000

***

NbBI2O | GGA-PBE | optimized geometry

Results
distance to the lowest polymorph of the same formula = 226.5 meV/atom
DFT total energy = -22.4 eV/cell
space-group type = No. 123
energy relative to the elements, uncorrected = 2.380 eV/f.u.

Cell: 5.413 5.413 3.169 Å, 90.00 90.00 90.00°
Element x y z (fractional)
1 Nb 0.000 0.000 0.000
2 B 0.500 0.500 0.500
3 I 0.000 0.500 0.500
4 I 0.500 0.000 0.500
5 O 0.500 0.500 0.000

***

Pm3ZrP4 | GGA-PBE | optimized geometry

Results
DFT total energy = -112.8 eV/cell
space-group type = No. 65
ΔE_f = -11.97 eV per formula unit

Cell: 8.073 11.365 4.019 Å, 90.00 90.00 90.00°
Element x y z (fractional)
1 Pm 0.000 0.000 0.000
2 Pm 0.250 0.250 0.500
3 Pm 0.250 0.750 0.500
4 Pm 0.500 0.500 0.000
5 Pm 0.750 0.250 0.500
6 Pm 0.750 0.750 0.500
7 Zr 0.000 0.500 0.000
8 Zr 0.500 0.000 0.000
9 P 0.000 0.259 0.000
10 P 0.000 0.741 0.000
11 P 0.233 0.500 0.500
12 P 0.267 0.000 0.500
13 P 0.500 0.241 0.000
14 P 0.500 0.759 0.000
15 P 0.733 0.000 0.500
16 P 0.767 0.500 0.500

***

NdTlO4 | GGA-PBE | optimized geometry

Results
DFT total energy = -73.2 eV/cell
space-group type = No. 8
energy relative to the elements, uncorrected = -9.637 eV/f.u.

Cell: 7.089 3.783 6.517 Å, 90.00 94.64 90.00°
Element x y z (fractional)
1 Nd 0.000 0.000 0.000
2 Nd 0.500 0.500 0.000
3 Tl 0.146 0.500 0.537
4 Tl 0.646 0.000 0.537
5 O 0.174 0.500 0.914
6 O 0.229 0.000 0.313
7 O 0.416 0.000 0.234
8 O 0.470 0.500 0.623
9 O 0.674 0.000 0.914
10 O 0.729 0.500 0.313
11 O 0.916 0.500 0.234
12 O 0.970 0.000 0.623